(1)
The following is a DFT calculation (SCAN) of ZnMoRh2 at its PBEsol-relaxed geometry.

Properties
Spin magnetization = 0.0 Bohr magnetons per cell
N(E_F) = 0.590 states/eV per atom
Calculated density = 11.1 g cm⁻³
Calculated formation energy = -1.4 eV per formula unit

Cell and atoms, written as extended XYZ:
```
4
Lattice="-1.802 -1.993 0.743 2.127 -1.699 0.603 0.054 2.415 6.610" Properties=species:S:1:pos:R:3 pbc="T T T"
Mo 0.189 -0.638 3.978
Rh 0.041 1.826 4.997
Rh 0.013 0.589 1.613
Zn 0.162 -1.846 0.673
```

(2)
The following is a DFT calculation (SCAN) of FeTcCl2 at its PBEsol-relaxed geometry.

Properties
Spin magnetization = 5.8 Bohr magnetons per cell
N(E_F) = 0.399 states/eV per atom
Distance to the lowest polymorph of the same formula = 0 meV/atom
Calculated density = 6.1 g cm⁻³
ΔE_f (raw) = 0.433 eV per atom

Cell and atoms, written as extended XYZ:
```
4
Lattice="-0.769 1.293 -2.401 -2.860 -2.671 -0.522 -3.440 3.139 2.792" Properties=species:S:1:pos:R:3 pbc="T T T"
Cl -2.105 2.216 0.195
Cl 0.000 0.000 0.000
Fe -1.815 -0.689 -1.461
Tc -3.150 0.234 1.135
```

(3)
The following is a DFT calculation (SCAN) of U2B6W at its PBEsol-relaxed geometry.

Properties
Spin magnetization = 0.0 Bohr magnetons per cell
N(E_F) = 0.656 states/eV per atom
Calculated density = 12.7 g cm⁻³
Calculated formation energy = -4.3 eV per formula unit

Cell and atoms, written as extended XYZ:
```
36
Lattice="3.646 0.000 0.000 0.000 9.211 0.000 0.000 0.000 11.290" Properties=species:S:1:pos:R:3 pbc="T T T"
B 1.823 4.743 8.108
B 1.823 3.277 9.176
B 1.823 0.458 0.750
B 1.823 5.934 2.114
B 1.823 1.328 3.531
B 1.823 1.295 5.206
B 1.823 5.063 4.894
B 1.823 4.147 6.395
B 1.823 7.915 6.084
B 1.823 9.073 2.463
B 1.823 2.244 0.855
B 1.823 6.967 10.435
B 1.823 6.410 8.719
B 1.823 4.468 3.182
B 1.823 2.361 6.500
B 1.823 3.310 10.851
B 1.823 8.753 10.539
B 1.823 7.406 3.074
B 1.823 0.138 8.827
B 1.823 6.849 4.790
B 1.823 7.882 7.759
B 1.823 2.800 2.571
B 1.823 5.901 0.439
B 1.823 1.805 8.216
U 0.000 3.078 4.602
U 0.000 5.009 10.097
U 0.000 1.528 10.247
U 0.000 7.683 1.043
U 0.000 6.133 6.688
U 0.000 0.403 6.838
U 0.000 8.807 4.452
U 0.000 4.202 1.193
W 0.000 5.941 3.614
W 0.000 3.270 7.676
W 0.000 7.875 9.259
W 0.000 1.336 2.031
```

(4)
The following is a DFT calculation (SCAN) of Sc2AuBr at its PBEsol-relaxed geometry.

Properties
Spin magnetization = 0.8 Bohr magnetons per cell
N(E_F) = 0.890 states/eV per atom
Calculated density = 7.7 g cm⁻³
ΔE_f (raw) = -0.685 eV per atom

Cell and atoms, written as extended XYZ:
```
4
Lattice="4.657 0.000 0.000 -2.328 4.321 0.031 0.000 2.481 3.941" Properties=species:S:1:pos:R:3 pbc="T T T"
Sc 0.000 2.781 1.001
Sc 2.328 4.021 2.971
Au 2.328 1.241 1.970
Br 0.000 0.000 0.000
```